one | ## GaSnBi (PBE-GGA)

Data for a relaxed structure of GaSnBi.

Unit cell a=3.980 b=3.980 c=12.419 alpha=90.00 beta=90.00 gamma=90.00
Space group P4/nmm (No. 129, origin choice 2)
Unique sites:
Ga 0.250 0.750 0.000 (multiplicity 2)
Sn 0.250 0.250 0.168 (multiplicity 2)
Bi 0.250 0.250 0.439 (multiplicity 2)

two | ## GaSnBi (PBE-GGA)

Data for a relaxed structure of GaSnBi.

Unit cell a=8.594 b=6.150 c=6.399 alpha=90.00 beta=90.00 gamma=90.00
Space group Aem2 (No. 39)
Unique sites:
Ga 0.001 0.250 0.000 (multiplicity 4)
Sn 0.297 0.250 0.254 (multiplicity 4)
Bi 0.327 0.250 0.753 (multiplicity 4)

Energies relative to the most stable structure are one 43; two 0, reported in meV/atom.

one | ## GaSnBi (PBE-GGA)

Data for a relaxed structure of GaSnBi.

Unit cell a=3.561 b=3.561 c=12.421 alpha=90.00 beta=90.00 gamma=90.00
Space group I4mm (No. 107)
Unique sites:
Ga 0.000 0.000 0.000 (multiplicity 2)
Sn 0.000 0.000 0.643 (multiplicity 2)
Bi 0.000 0.000 0.338 (multiplicity 2)

two | ## GaSnBi (PBE-GGA)

Data for a relaxed structure of GaSnBi.

Unit cell a=3.3909 b=3.3909 c=8.1307 alpha=90.00 beta=90.00 gamma=120.00
Space group P3m1 (No. 156)
Unique sites:
Ga 0.0000 0.0000 0.0000 (multiplicity 1)
Sn 0.3333 0.6667 0.6975 (multiplicity 1)
Bi 0.6667 0.3333 0.3226 (multiplicity 1)

three | ## GaSnBi (PBE-GGA)

Data for a relaxed structure of GaSnBi.

Unit cell a=7.072 b=7.072 c=7.072 alpha=90.00 beta=90.00 gamma=90.00
Space group F-43m (No. 216)
Unique sites:
Ga 0.000 0.000 0.000 (multiplicity 4)
Sn 0.250 0.250 0.250 (multiplicity 4)
Bi 0.250 0.250 0.750 (multiplicity 4)

Energies relative to the most stable structure are one 0; two 28; three 36, reported in meV/atom.

one | ## Sr2GaBi2 (PBE-GGA)

Data for a relaxed structure of Sr2GaBi2.

Unit cell a=9.615 b=9.615 c=3.897 alpha=90.00 beta=90.00 gamma=90.00
Space group P4/mbm (No. 127)
Unique sites:
Sr 0.136 0.364 0.000 (multiplicity 4)
Ga 0.000 0.000 0.000 (multiplicity 2)
Bi 0.166 0.666 0.500 (multiplicity 4)

two | ## Sr2GaBi2 (PBE-GGA)

Data for a relaxed structure of Sr2GaBi2.

Unit cell a=8.412 b=8.412 c=4.872 alpha=90.00 beta=90.00 gamma=90.00
Space group P4/mbm (No. 127)
Unique sites:
Sr 0.175 0.325 0.000 (multiplicity 4)
Ga 0.000 0.000 0.500 (multiplicity 2)
Bi 0.129 0.629 0.500 (multiplicity 4)

three | ## Sr2GaBi2 (PBE-GGA)

Data for a relaxed structure of Sr2GaBi2.

Unit cell a=15.041 b=6.839 c=9.530 alpha=90.00 beta=125.23 gamma=90.00
Space group C2/m (No. 12)
Unique sites:
Sr 0.114 0.000 0.340 (multiplicity 4)
Sr 0.154 0.500 0.043 (multiplicity 4)
Ga 0.130 0.500 0.682 (multiplicity 4)
Bi 0.096 0.500 0.359 (multiplicity 4)
Bi 0.147 0.000 0.027 (multiplicity 4)

Energies relative to the most stable structure are one 141; two 0; three 82, reported in meV/atom.